Here is a relaxed PmDy2Cu2 crystal from Alexandria via LeMat-Bulk. Energies are from PBE.

Computed properties:
energy above the lowest structure with this stoichiometry	33	meV/atom
energy of formation	-0.110	eV per atom

Cell: 4.6543 4.9934 10.7709 Å, 96.83 90.00 90.00°
Last column: nearest neighbours and their distance in Å.
Fractional positions:
Pm 0.2500 0.6915 0.2428  1 Cu 2.94
Pm 0.7500 0.3085 0.7572  1 Cu 2.94
Dy 0.2500 0.8449 0.8861  5 Cu 2.69-2.94
Dy 0.7500 0.1551 0.1139  5 Cu 2.69-2.94
Dy 0.2500 0.2509 0.5052  4 Cu 2.76-2.86
Dy 0.7500 0.7491 0.4948  4 Cu 2.76-2.86
Cu 0.2500 0.7846 0.6344  5 Dy 2.69-2.86
Cu 0.7500 0.2154 0.3656  5 Dy 2.69-2.86
Cu 0.2500 0.3758 0.9941  2 Cu 2.63, 4 Dy 2.74-2.94, 1 Pm 2.94
Cu 0.7500 0.6242 0.0059  2 Cu 2.63, 4 Dy 2.74-2.94, 1 Pm 2.94

---

Here is a relaxed AlSbTe2N crystal from Alexandria via LeMat-Bulk. Energies are from PBE.

Computed properties:
energy above the lowest structure with this stoichiometry	0	meV/atom

Cell: 5.7266 5.7266 3.5215 Å, 90.00 90.00 90.00°
Last column: nearest neighbours and their distance in Å.
Fractional positions:
Sb 0.5000 0.5000 0.5000  8 Te 3.36, 2 Sb 3.52
Te 0.0000 0.5000 0.0000  2 Al 2.86
Te 0.5000 0.0000 0.0000  2 Al 2.86
Al 0.0000 0.0000 0.0000  2 N 1.76
N 0.0000 0.0000 0.5000  2 Al 1.76